Entry 1:
First-principles (PBE-GGA) data for a geometry-optimized Te2AsN2 structure, as listed in Alexandria.

Results
raw formation energy: 134 kJ per mole of atoms
calculated volume: 111.0 Å³ per cell
spin magnetization: 1.54 μB/cell

Cell and atoms, written as CIF:
```
data_Te2AsN2
_space_group_name_H-M_alt 'P 4/m m m'
_space_group_IT_number 123
_space_group_name_Hall '-P 4 2'
_cell_length_a 4.013
_cell_length_b 4.013
_cell_length_c 6.895
_cell_angle_alpha 90.00
_cell_angle_beta 90.00
_cell_angle_gamma 90.00
loop_
_atom_site_label
_atom_site_type_symbol
_atom_site_fract_x
_atom_site_fract_y
_atom_site_fract_z
Te1 Te 0.000 0.000 0.000
Te2 Te 0.500 0.500 0.000
As1 As 0.000 0.000 0.500
N1 N 0.000 0.500 0.500
```

---

Entry 2:
First-principles (PBE-GGA) data for a geometry-optimized NaPuCd4 structure, as listed in Alexandria.

Results
calculated volume: 144.4 Å³ per cell
energy relative to the elements: -0.11 eV/atom
spin magnetization: 5.91 μB/cell

Cell and atoms, written as CIF:
```
data_NaPuCd4
_space_group_name_H-M_alt 'P m m m'
_space_group_IT_number 47
_cell_length_a 3.119
_cell_length_b 5.149
_cell_length_c 8.991
_cell_angle_alpha 90.00
_cell_angle_beta 90.00
_cell_angle_gamma 90.00
loop_
_space_group_symop_operation_xyz
'x,y,z'
'-x,-y,-z'
'-x,-y,z'
'x,y,-z'
'x,-y,-z'
'-x,y,z'
'-x,y,-z'
'x,-y,z'
loop_
_atom_site_label
_atom_site_type_symbol
_atom_site_fract_x
_atom_site_fract_y
_atom_site_fract_z
Na1 Na 0.000 0.000 0.000
Pu1 Pu 0.000 0.500 0.500
Cd1 Cd 0.500 0.000 0.331
Cd2 Cd 0.500 0.500 0.164
```

---

Entry 3:
First-principles (PBE-GGA) data for a geometry-optimized RbLiBr2 structure, as listed in Alexandria.

Results
raw formation energy: -159 kJ per mole of atoms
calculated volume: 523.4 Å³ per cell
spin magnetization: 0.00 μB/cell

Cell and atoms, written as CIF:
```
data_RbLiBr2
_space_group_name_H-M_alt 'C m c m'
_space_group_IT_number 63
_space_group_name_Hall '-C 2c 2'
_cell_length_a 4.431
_cell_length_b 15.465
_cell_length_c 7.637
_cell_angle_alpha 90.00
_cell_angle_beta 90.00
_cell_angle_gamma 90.00
loop_
_atom_site_label
_atom_site_type_symbol
_atom_site_fract_x
_atom_site_fract_y
_atom_site_fract_z
Rb1 Rb 0.000 0.128 0.250
Li1 Li 0.000 0.391 0.250
Br1 Br 0.000 0.194 0.750
Br2 Br 0.000 0.500 0.000
```

---

Entry 4:
First-principles (PBE-GGA) data for a geometry-optimized TaAlNi structure, as listed in Alexandria.

Results
calculated volume: 43.9 Å³ per cell
energy relative to the elements: -0.31 eV/atom
spin magnetization: 0.00 μB/cell

Cell and atoms, written as CIF:
```
data_TaAlNi
_space_group_name_H-M_alt 'P -6 m 2'
_space_group_IT_number 187
_space_group_name_Hall 'P -6 2'
_cell_length_a 4.1927
_cell_length_b 4.1927
_cell_length_c 2.8826
_cell_angle_alpha 90.00
_cell_angle_beta 90.00
_cell_angle_gamma 120.00
loop_
_atom_site_label
_atom_site_type_symbol
_atom_site_fract_x
_atom_site_fract_y
_atom_site_fract_z
Ta1 Ta 0.0000 0.0000 0.0000
Al1 Al 0.6667 0.3333 0.5000
Ni1 Ni 0.3333 0.6667 0.5000
```

---

Entry 5:
First-principles (PBE-GGA) data for a geometry-optimized ThNi4SnP2 structure, as listed in Alexandria.

Results
calculated volume: 126.3 Å³ per cell
energy relative to the elements: -0.63 eV/atom
spin magnetization: 0.00 μB/cell

Cell and atoms, written as CIF:
```
data_ThNi4SnP2
_space_group_name_H-M_alt 'P 4/m m m'
_space_group_IT_number 123
_space_group_name_Hall '-P 4 2'
_cell_length_a 4.022
_cell_length_b 4.022
_cell_length_c 7.811
_cell_angle_alpha 90.00
_cell_angle_beta 90.00
_cell_angle_gamma 90.00
loop_
_atom_site_label
_atom_site_type_symbol
_atom_site_fract_x
_atom_site_fract_y
_atom_site_fract_z
Th1 Th 0.000 0.000 0.000
Ni1 Ni 0.000 0.500 0.288
Sn1 Sn 0.000 0.000 0.500
P1 P 0.500 0.500 0.160
```

---

Entry 6:
First-principles (PBE-GGA) data for a geometry-optimized VNi2Au structure, as listed in Alexandria.

Results
calculated volume: 163.0 Å³ per cell
energy relative to the elements: 0.05 eV/atom
spin magnetization: 0.00 μB/cell

Cell and atoms, written as CIF:
```
data_VNi2Au
_space_group_name_H-M_alt 'R 3 m'
_space_group_IT_number 160
_space_group_name_Hall 'R 3 -2"'
_cell_length_a 2.7083
_cell_length_b 2.7083
_cell_length_c 25.6607
_cell_angle_alpha 90.00
_cell_angle_beta 90.00
_cell_angle_gamma 120.00
loop_
_atom_site_label
_atom_site_type_symbol
_atom_site_fract_x
_atom_site_fract_y
_atom_site_fract_z
V1 V 0.0000 0.0000 0.0000
Ni1 Ni 0.0000 0.0000 0.4092
Ni2 Ni 0.0000 0.0000 0.5908
Au1 Au 0.0000 0.0000 0.1669
```

---

Entry 7:
First-principles (PBE-GGA) data for a geometry-optimized Th2NpHg structure, as listed in Alexandria.

Results
calculated volume: 109.5 Å³ per cell
energy relative to the elements: 0.08 eV/atom
spin magnetization: 4.45 μB/cell

Cell and atoms, written as CIF:
```
data_Th2NpHg
_space_group_name_H-M_alt 'P 4/m m m'
_space_group_IT_number 123
_space_group_name_Hall '-P 4 2'
_cell_length_a 5.593
_cell_length_b 5.593
_cell_length_c 3.499
_cell_angle_alpha 90.00
_cell_angle_beta 90.00
_cell_angle_gamma 90.00
loop_
_atom_site_label
_atom_site_type_symbol
_atom_site_fract_x
_atom_site_fract_y
_atom_site_fract_z
Th1 Th 0.000 0.500 0.000
Np1 Np 0.000 0.000 0.500
Hg1 Hg 0.500 0.500 0.500
```

---

Entry 8:
First-principles (PBE-GGA) data for a geometry-optimized BHW2 structure, as listed in Alexandria.

Results
calculated volume: 148.0 Å³ per cell
total energy: -8.746 eV per atom
spin magnetization: 0.00 μB/cell

Cell and atoms, written as CIF:
```
data_BHW2
_space_group_name_H-M_alt 'R -3 m'
_space_group_IT_number 166
_space_group_name_Hall '-R 3 2"'
_cell_length_a 3.1092
_cell_length_b 3.1092
_cell_length_c 17.6782
_cell_angle_alpha 90.00
_cell_angle_beta 90.00
_cell_angle_gamma 120.00
loop_
_atom_site_label
_atom_site_type_symbol
_atom_site_fract_x
_atom_site_fract_y
_atom_site_fract_z
B1 B 0.0000 0.0000 0.0000
H1 H 0.0000 0.0000 0.5000
W1 W 0.0000 0.0000 0.3996
```

---

Entry 9:
First-principles (PBE-GGA) data for a geometry-optimized Na2CuNi structure, as listed in Alexandria.

Results
calculated volume: 302.2 Å³ per cell
energy relative to the elements: 0.61 eV/atom
spin magnetization: 0.00 μB/cell

Cell and atoms, written as CIF:
```
data_Na2CuNi
_space_group_name_H-M_alt 'I -4 2 d'
_space_group_IT_number 122
_space_group_name_Hall 'I -4 2bw'
_cell_length_a 7.714
_cell_length_b 7.714
_cell_length_c 5.079
_cell_angle_alpha 90.00
_cell_angle_beta 90.00
_cell_angle_gamma 90.00
loop_
_atom_site_label
_atom_site_type_symbol
_atom_site_fract_x
_atom_site_fract_y
_atom_site_fract_z
Na1 Na 0.247 0.250 0.125
Cu1 Cu 0.000 0.000 0.500
Ni1 Ni 0.000 0.000 0.000
```

---

Entry 10:
First-principles (PBE-GGA) data for a geometry-optimized NpPd8Au2 structure, as listed in Alexandria.

Results
calculated volume: 382.4 Å³ per cell
energy relative to the elements: -0.11 eV/atom
spin magnetization: 5.62 μB/cell

Cell and atoms, written as CIF:
```
data_NpPd8Au2
_space_group_name_H-M_alt 'C 1 2/m 1'
_space_group_IT_number 12
_cell_length_a 13.474
_cell_length_b 5.399
_cell_length_c 5.437
_cell_angle_alpha 90.00
_cell_angle_beta 104.81
_cell_angle_gamma 90.00
loop_
_space_group_symop_operation_xyz
'x,y,z'
'-x,-y,-z'
'-x,y,-z'
'x,-y,z'
'x+1/2,y+1/2,z'
'-x+1/2,-y+1/2,-z'
'-x+1/2,y+1/2,-z'
'x+1/2,-y+1/2,z'
loop_
_atom_site_label
_atom_site_type_symbol
_atom_site_fract_x
_atom_site_fract_y
_atom_site_fract_z
Np1 Np 0.000 0.000 0.000
Pd1 Pd 0.080 0.500 0.213
Pd2 Pd 0.090 0.254 0.682
Pd3 Pd 0.247 0.500 0.036
Au1 Au 0.217 0.000 0.423
```

---

Entry 11:
First-principles (PBE-GGA) data for a geometry-optimized BaSi2Sb structure, as listed in Alexandria.

Results
raw formation energy: 38 kJ per mole of atoms
calculated volume: 213.5 Å³ per cell
spin magnetization: 0.00 μB/cell

Cell and atoms, written as CIF:
```
data_BaSi2Sb
_space_group_name_H-M_alt 'C 1 2/m 1'
_space_group_IT_number 12
_cell_length_a 6.753
_cell_length_b 10.852
_cell_length_c 3.297
_cell_angle_alpha 90.00
_cell_angle_beta 117.90
_cell_angle_gamma 90.00
loop_
_space_group_symop_operation_xyz
'x,y,z'
'-x,-y,-z'
'-x,y,-z'
'x,-y,z'
'x+1/2,y+1/2,z'
'-x+1/2,-y+1/2,-z'
'-x+1/2,y+1/2,-z'
'x+1/2,-y+1/2,z'
loop_
_atom_site_label
_atom_site_type_symbol
_atom_site_fract_x
_atom_site_fract_y
_atom_site_fract_z
Ba1 Ba 0.000 0.000 0.000
Si1 Si 0.250 0.250 0.500
Sb1 Sb 0.000 0.500 0.000
```

---

Entry 12:
First-principles (PBE-GGA) data for a geometry-optimized MnNiHg2 structure, as listed in Alexandria.

Results
calculated volume: 212.7 Å³ per cell
energy relative to the elements: 0.36 eV/atom
spin magnetization: 11.80 μB/cell

Cell and atoms, written as CIF:
```
data_MnNiHg2
_space_group_name_H-M_alt 'R -3 m'
_space_group_IT_number 166
_space_group_name_Hall '-R 3 2"'
_cell_length_a 3.0813
_cell_length_b 3.0813
_cell_length_c 25.8701
_cell_angle_alpha 90.00
_cell_angle_beta 90.00
_cell_angle_gamma 120.00
loop_
_atom_site_label
_atom_site_type_symbol
_atom_site_fract_x
_atom_site_fract_y
_atom_site_fract_z
Mn1 Mn 0.0000 0.0000 0.0000
Ni1 Ni 0.0000 0.0000 0.5000
Hg1 Hg 0.0000 0.0000 0.2457
```

---

Entry 13:
First-principles (PBE-GGA) data for a geometry-optimized Ac2DyErS4 structure, as listed in Alexandria.

Results
raw formation energy: -191 kJ per mole of atoms
calculated volume: 194.4 Å³ per cell
spin magnetization: 0.00 μB/cell

Cell and atoms, written as CIF:
```
data_Ac2DyErS4
_space_group_name_H-M_alt 'P 1 2/m 1'
_space_group_IT_number 10
_cell_length_a 6.931
_cell_length_b 3.983
_cell_length_c 7.406
_cell_angle_alpha 90.00
_cell_angle_beta 108.07
_cell_angle_gamma 90.00
loop_
_space_group_symop_operation_xyz
'x,y,z'
'-x,-y,-z'
'-x,y,-z'
'x,-y,z'
loop_
_atom_site_label
_atom_site_type_symbol
_atom_site_fract_x
_atom_site_fract_y
_atom_site_fract_z
Ac1 Ac 0.000 0.000 0.000
Ac2 Ac 0.500 0.500 0.000
Dy1 Dy 0.000 0.500 0.500
Er1 Er 0.500 0.000 0.500
S1 S 0.240 0.000 0.716
S2 S 0.264 0.500 0.285
```

---

Entry 14:
First-principles (PBE-GGA) data for a geometry-optimized ScSiRh2 structure, as listed in Alexandria.

Results
raw formation energy: -69 kJ per mole of atoms
calculated volume: 60.8 Å³ per cell
spin magnetization: 0.00 μB/cell

Cell and atoms, written as CIF:
```
data_ScSiRh2
_space_group_name_H-M_alt 'P 1 2/m 1'
_space_group_IT_number 10
_cell_length_a 4.271
_cell_length_b 3.112
_cell_length_c 4.902
_cell_angle_alpha 90.00
_cell_angle_beta 111.02
_cell_angle_gamma 90.00
loop_
_space_group_symop_operation_xyz
'x,y,z'
'-x,-y,-z'
'-x,y,-z'
'x,-y,z'
loop_
_atom_site_label
_atom_site_type_symbol
_atom_site_fract_x
_atom_site_fract_y
_atom_site_fract_z
Sc1 Sc 0.000 0.000 0.000
Si1 Si 0.000 0.500 0.500
Rh1 Rh 0.500 0.000 0.500
Rh2 Rh 0.500 0.500 0.000
```

---

Entry 15:
First-principles (PBE-GGA) data for a geometry-optimized Pr2Th2In3 structure, as listed in Alexandria.

Results
calculated volume: 416.9 Å³ per cell
energy relative to the elements: -0.33 eV/atom
spin magnetization: 0.00 μB/cell

Cell and atoms, written as CIF:
```
data_Pr2Th2In3
_space_group_name_H-M_alt 'I m m m'
_space_group_IT_number 71
_space_group_name_Hall '-I 2 2'
_cell_length_a 3.712
_cell_length_b 4.499
_cell_length_c 24.966
_cell_angle_alpha 90.00
_cell_angle_beta 90.00
_cell_angle_gamma 90.00
loop_
_atom_site_label
_atom_site_type_symbol
_atom_site_fract_x
_atom_site_fract_y
_atom_site_fract_z
Pr1 Pr 0.000 0.000 0.071
Th1 Th 0.000 0.000 0.210
In1 In 0.000 0.000 0.358
In2 In 0.000 0.000 0.500
```

---

Entry 16:
First-principles (PBE-GGA) data for a geometry-optimized Ac4Hg3Pd5 structure, as listed in Alexandria.

Results
calculated volume: 672.5 Å³ per cell
energy relative to the elements: -0.56 eV/atom
spin magnetization: 0.00 μB/cell

Cell and atoms, written as CIF:
```
data_Ac4Hg3Pd5
_space_group_name_H-M_alt 'C 1 2/m 1'
_space_group_IT_number 12
_cell_length_a 14.441
_cell_length_b 4.958
_cell_length_c 11.307
_cell_angle_alpha 90.00
_cell_angle_beta 123.83
_cell_angle_gamma 90.00
loop_
_space_group_symop_operation_xyz
'x,y,z'
'-x,-y,-z'
'-x,y,-z'
'x,-y,z'
'x+1/2,y+1/2,z'
'-x+1/2,-y+1/2,-z'
'-x+1/2,y+1/2,-z'
'x+1/2,-y+1/2,z'
loop_
_atom_site_label
_atom_site_type_symbol
_atom_site_fract_x
_atom_site_fract_y
_atom_site_fract_z
Ac1 Ac 0.033 0.000 0.329
Ac2 Ac 0.232 0.500 0.250
Hg1 Hg 0.000 0.000 0.000
Hg2 Hg 0.166 0.500 0.912
Pd1 Pd 0.000 0.500 0.000
Pd2 Pd 0.092 0.500 0.630
Pd3 Pd 0.211 0.500 0.511
```

---

Entry 17:
First-principles (PBE-GGA) data for a geometry-optimized CaVSeCl structure, as listed in Alexandria.

Results
raw formation energy: -77 kJ per mole of atoms
calculated volume: 333.0 Å³ per cell
spin magnetization: 15.93 μB/cell

Cell and atoms, written as CIF:
```
data_CaVSeCl
_space_group_name_H-M_alt 'F -4 3 m'
_space_group_IT_number 216
_space_group_name_Hall 'F -4 2 3'
_cell_length_a 6.931
_cell_length_b 6.931
_cell_length_c 6.931
_cell_angle_alpha 90.00
_cell_angle_beta 90.00
_cell_angle_gamma 90.00
loop_
_atom_site_label
_atom_site_type_symbol
_atom_site_fract_x
_atom_site_fract_y
_atom_site_fract_z
Ca1 Ca 0.000 0.000 0.000
V1 V 0.000 0.000 0.500
Se1 Se 0.250 0.250 0.750
Cl1 Cl 0.250 0.250 0.250
```

---

Entry 18:
First-principles (PBE-GGA) data for a geometry-optimized Ac3In7Ag4 structure, as listed in Alexandria.

Results
calculated volume: 743.2 Å³ per cell
energy relative to the elements: -0.36 eV/atom
spin magnetization: 0.00 μB/cell

Cell and atoms, written as CIF:
```
data_Ac3In7Ag4
_space_group_name_H-M_alt 'C 1 2/m 1'
_space_group_IT_number 12
_cell_length_a 17.797
_cell_length_b 4.881
_cell_length_c 10.589
_cell_angle_alpha 90.00
_cell_angle_beta 126.10
_cell_angle_gamma 90.00
loop_
_space_group_symop_operation_xyz
'x,y,z'
'-x,-y,-z'
'-x,y,-z'
'x,-y,z'
'x+1/2,y+1/2,z'
'-x+1/2,-y+1/2,-z'
'-x+1/2,y+1/2,-z'
'x+1/2,-y+1/2,z'
loop_
_atom_site_label
_atom_site_type_symbol
_atom_site_fract_x
_atom_site_fract_y
_atom_site_fract_z
Ac1 Ac 0.000 0.000 0.000
Ac2 Ac 0.192 0.500 0.697
In1 In 0.000 0.000 0.500
In2 In 0.002 0.500 0.293
In3 In 0.154 0.000 0.424
In4 In 0.168 0.500 0.030
Ag1 Ag 0.135 0.000 0.859
Ag2 Ag 0.157 0.500 0.283
```

---

Entry 19:
First-principles (PBE-GGA) data for a geometry-optimized ZnCO2F structure, as listed in Alexandria.

Results
raw formation energy: 92 kJ per mole of atoms
calculated volume: 56.6 Å³ per cell
spin magnetization: 0.00 μB/cell

Cell and atoms, written as CIF:
```
data_ZnCO2F
_space_group_name_H-M_alt 'P 4/m m m'
_space_group_IT_number 123
_space_group_name_Hall '-P 4 2'
_cell_length_a 3.859
_cell_length_b 3.859
_cell_length_c 3.799
_cell_angle_alpha 90.00
_cell_angle_beta 90.00
_cell_angle_gamma 90.00
loop_
_atom_site_label
_atom_site_type_symbol
_atom_site_fract_x
_atom_site_fract_y
_atom_site_fract_z
Zn1 Zn 0.000 0.000 0.000
C1 C 0.500 0.500 0.500
O1 O 0.000 0.500 0.000
F1 F 0.000 0.000 0.500
```

---

Entry 20:
First-principles (PBE-GGA) data for a geometry-optimized Ca2YInP structure, as listed in Alexandria.

Results
calculated volume: 156.4 Å³ per cell
energy relative to the elements: -0.64 eV/atom
spin magnetization: 0.00 μB/cell

Cell and atoms, written as CIF:
```
data_Ca2YInP
_space_group_name_H-M_alt 'P 4/m m m'
_space_group_IT_number 123
_space_group_name_Hall '-P 4 2'
_cell_length_a 5.404
_cell_length_b 5.404
_cell_length_c 5.357
_cell_angle_alpha 90.00
_cell_angle_beta 90.00
_cell_angle_gamma 90.00
loop_
_atom_site_label
_atom_site_type_symbol
_atom_site_fract_x
_atom_site_fract_y
_atom_site_fract_z
Ca1 Ca 0.000 0.500 0.000
Y1 Y 0.000 0.000 0.500
In1 In 0.500 0.500 0.500
P1 P 0.000 0.000 0.000
```